Computed, not measured: AcSmMg after structural relaxation at the PBE-GGA level of DFT.

Results
ΔH_f (0 K) (kJ per mole of atoms): -3
ΔE to the lowest computed polymorph (kJ/mol of formula units): 0
Symmetry: I4mm (107)
E_tot (eV/f.u.): -10.52

a b c (Å): 7.152 7.152 7.152
angles (deg): 147.86 147.86 46.09
Fractional coordinates of all 3 atoms:
Ac 0.000 0.000 0.000
Sm 0.307 0.307 0.000
Mg 0.669 0.669 0.000



Computed, not measured: AcSm2Mg3 after structural relaxation at the PBE-GGA level of DFT.

Results
ΔH_f (0 K) (kJ per mole of atoms): -8
Symmetry: P4/mmm (123)
E_tot (eV/f.u.): -18.86

a b c (Å): 3.939 3.939 11.829
angles (deg): 90.00 90.00 90.00
Fractional coordinates of all 6 atoms:
Ac 0.000 0.000 0.000
Sm 0.000 0.000 0.342
Sm 0.000 0.000 0.658
Mg 0.500 0.500 0.188
Mg 0.500 0.500 0.500
Mg 0.500 0.500 0.812



Computed, not measured: AcSm2Mg after structural relaxation at the PBE-GGA level of DFT.

Results
ΔH_f (0 K) (kJ per mole of atoms): -3
ΔE to the lowest computed polymorph (kJ/mol of formula units): 0
Symmetry: P4/mmm (123)
E_tot (eV/f.u.): -15.25

a b c (Å): 3.850 3.850 9.076
angles (deg): 90.00 90.00 90.00
Fractional coordinates of all 4 atoms:
Ac 0.000 0.000 0.000
Sm 0.500 0.500 0.289
Sm 0.500 0.500 0.711
Mg 0.000 0.000 0.500



Computed, not measured: AcSm2Mg after structural relaxation at the PBE-GGA level of DFT.

Results
ΔH_f (0 K) (kJ per mole of atoms): 10
ΔE to the lowest computed polymorph (kJ/mol of formula units): 52
Symmetry: Fm-3m (225)
E_tot (eV/f.u.): -14.71

a b c (Å): 5.766 5.766 5.766
angles (deg): 60.00 60.00 60.00
Fractional coordinates of all 4 atoms:
Ac 0.000 0.000 0.000
Sm 0.250 0.250 0.250
Sm 0.750 0.750 0.750
Mg 0.500 0.500 0.500



Computed, not measured: AcSm3Mg4 after structural relaxation at the PBE-GGA level of DFT.

Results
ΔH_f (0 K) (kJ per mole of atoms): -8
Symmetry: Pmma (51)
E_tot (eV/f.u.): -25.33

a b c (Å): 11.066 7.851 5.533
angles (deg): 90.00 90.00 90.00
Fractional coordinates of all 16 atoms:
Ac 0.000 0.000 0.000
Ac 0.500 0.000 0.000
Sm 0.000 0.500 0.000
Sm 0.250 0.000 0.498
Sm 0.250 0.500 0.498
Sm 0.500 0.500 0.000
Sm 0.750 0.000 0.502
Sm 0.750 0.500 0.502
Mg 0.000 0.263 0.500
Mg 0.000 0.737 0.500
Mg 0.250 0.263 0.997
Mg 0.250 0.737 0.997
Mg 0.500 0.263 0.500
Mg 0.500 0.737 0.500
Mg 0.750 0.263 0.003
Mg 0.750 0.737 0.003



Computed, not measured: Ac2SmMg after structural relaxation at the PBE-GGA level of DFT.

Results
ΔH_f (0 K) (kJ per mole of atoms): 4
ΔE to the lowest computed polymorph (kJ/mol of formula units): 23
Symmetry: Fm-3m (225)
E_tot (eV/f.u.): -14.35

a b c (Å): 5.936 5.936 5.936
angles (deg): 60.00 60.00 60.00
Fractional coordinates of all 4 atoms:
Ac 0.250 0.250 0.250
Ac 0.750 0.750 0.750
Sm 0.000 0.000 0.000
Mg 0.500 0.500 0.500



Computed, not measured: AcSmMg after structural relaxation at the PBE-GGA level of DFT.

Results
ΔH_f (0 K) (kJ per mole of atoms): 0
ΔE to the lowest computed polymorph (kJ/mol of formula units): 9
Symmetry: P2_1/c (14)
E_tot (eV/f.u.): -10.43

a b c (Å): 3.732 11.339 9.696
angles (deg): 90.00 90.69 90.00
Fractional coordinates of all 12 atoms:
Ac 0.250 0.150 0.062
Ac 0.250 0.350 0.562
Ac 0.750 0.650 0.438
Ac 0.750 0.850 0.938
Sm 0.250 0.599 0.102
Sm 0.250 0.901 0.602
Sm 0.750 0.099 0.398
Sm 0.750 0.401 0.898
Mg 0.252 0.627 0.756
Mg 0.252 0.873 0.256
Mg 0.748 0.127 0.744
Mg 0.748 0.373 0.244



Computed, not measured: Ac3Sm2Mg2 after structural relaxation at the PBE-GGA level of DFT.

Results
ΔH_f (0 K) (kJ per mole of atoms): 7
Symmetry: Cmmm (65)
E_tot (eV/f.u.): -24.46

a b c (Å): 12.707 12.707 3.748
angles (deg): 90.00 90.00 155.01
Fractional coordinates of all 7 atoms:
Ac 0.000 0.000 0.000
Ac 0.149 0.851 0.000
Ac 0.851 0.149 0.000
Sm 0.286 0.714 0.500
Sm 0.714 0.286 0.500
Mg 0.429 0.571 0.500
Mg 0.571 0.429 0.500



Computed, not measured: Ac2SmMg2 after structural relaxation at the PBE-GGA level of DFT.

Results
ΔH_f (0 K) (kJ per mole of atoms): 5
ΔE to the lowest computed polymorph (kJ/mol of formula units): 19
Symmetry: Immm (71)
E_tot (eV/f.u.): -15.87

a b c (Å): 6.472 6.472 6.472
angles (deg): 129.50 115.96 85.77
Fractional coordinates of all 5 atoms:
Ac 0.196 0.196 0.000
Ac 0.804 0.804 0.000
Sm 0.500 0.000 0.500
Mg 0.219 0.500 0.719
Mg 0.781 0.500 0.281



Computed, not measured: Ac2Sm2Mg3 after structural relaxation at the PBE-GGA level of DFT.

Results
ΔH_f (0 K) (kJ per mole of atoms): 2
Symmetry: Cmmm (65)
E_tot (eV/f.u.): -22.26

a b c (Å): 14.901 14.901 3.922
angles (deg): 90.00 90.00 164.40
Fractional coordinates of all 7 atoms:
Ac 0.073 0.927 0.000
Ac 0.927 0.073 0.000
Sm 0.204 0.796 0.000
Sm 0.796 0.204 0.000
Mg 0.354 0.646 0.500
Mg 0.500 0.500 0.500
Mg 0.646 0.354 0.500



Computed, not measured: Ac2SmMg9 after structural relaxation at the PBE-GGA level of DFT.

Results
ΔH_f (0 K) (kJ per mole of atoms): -6
Symmetry: R-3m (166)
E_tot (eV/f.u.): -27.98

a b c (Å): 10.693 10.693 10.693
angles (deg): 33.77 33.77 33.77
Fractional coordinates of all 12 atoms:
Ac 0.142 0.142 0.142
Ac 0.858 0.858 0.858
Sm 0.000 0.000 0.000
Mg 0.079 0.582 0.582
Mg 0.334 0.334 0.334
Mg 0.418 0.418 0.921
Mg 0.418 0.921 0.418
Mg 0.500 0.500 0.500
Mg 0.582 0.079 0.582
Mg 0.582 0.582 0.079
Mg 0.666 0.666 0.666
Mg 0.921 0.418 0.418



Computed, not measured: Ac3SmMg4 after structural relaxation at the PBE-GGA level of DFT.

Results
ΔH_f (0 K) (kJ per mole of atoms): -8
Symmetry: P4/mmm (123)
E_tot (eV/f.u.): -24.06

a b c (Å): 4.050 4.050 16.224
angles (deg): 90.00 90.00 90.00
Fractional coordinates of all 8 atoms:
Ac 0.000 0.000 0.000
Ac 0.000 0.000 0.260
Ac 0.000 0.000 0.740
Sm 0.000 0.000 0.500
Mg 0.500 0.500 0.129
Mg 0.500 0.500 0.392
Mg 0.500 0.500 0.608
Mg 0.500 0.500 0.871



Computed, not measured: AcSmMg10 after structural relaxation at the PBE-GGA level of DFT.

Results
ΔH_f (0 K) (kJ per mole of atoms): -4
Symmetry: Pmmm (47)
E_tot (eV/f.u.): -25.30

a b c (Å): 4.977 6.074 10.499
angles (deg): 90.00 90.00 90.00
Fractional coordinates of all 12 atoms:
Ac 0.000 0.000 0.000
Sm 0.000 0.500 0.500
Mg 0.000 0.000 0.340
Mg 0.000 0.000 0.660
Mg 0.000 0.500 0.176
Mg 0.000 0.500 0.824
Mg 0.500 0.000 0.500
Mg 0.500 0.252 0.255
Mg 0.500 0.252 0.745
Mg 0.500 0.500 0.000
Mg 0.500 0.748 0.255
Mg 0.500 0.748 0.745



Computed, not measured: Ac8Sm2Mg after structural relaxation at the PBE-GGA level of DFT.

Results
ΔH_f (0 K) (kJ per mole of atoms): 12
Symmetry: Immm (71)
E_tot (eV/f.u.): -42.55

a b c (Å): 9.936 9.936 9.936
angles (deg): 145.82 121.19 69.81
Fractional coordinates of all 11 atoms:
Ac 0.129 0.344 0.785
Ac 0.143 0.143 0.000
Ac 0.315 0.000 0.315
Ac 0.441 0.656 0.785
Ac 0.559 0.344 0.215
Ac 0.685 0.000 0.685
Ac 0.857 0.857 0.000
Ac 0.871 0.656 0.215
Sm 0.297 0.797 0.500
Sm 0.703 0.203 0.500
Mg 0.000 0.500 0.500



Computed, not measured: Ac8Sm4Mg after structural relaxation at the PBE-GGA level of DFT.

Results
ΔH_f (0 K) (kJ per mole of atoms): 40
Symmetry: Pm-3m (221)
E_tot (eV/f.u.): -47.96

a b c (Å): 8.335 8.335 8.335
angles (deg): 90.00 90.00 90.00
Fractional coordinates of all 13 atoms:
Ac 0.245 0.245 0.245
Ac 0.245 0.245 0.755
Ac 0.245 0.755 0.245
Ac 0.245 0.755 0.755
Ac 0.755 0.245 0.245
Ac 0.755 0.245 0.755
Ac 0.755 0.755 0.245
Ac 0.755 0.755 0.755
Sm 0.000 0.000 0.000
Sm 0.000 0.500 0.500
Sm 0.500 0.000 0.500
Sm 0.500 0.500 0.000
Mg 0.500 0.500 0.500



Computed, not measured: Ac4SmMg5 after structural relaxation at the PBE-GGA level of DFT.

Results
ΔH_f (0 K) (kJ per mole of atoms): -8
Symmetry: P4/mmm (123)
E_tot (eV/f.u.): -29.93

a b c (Å): 4.064 4.064 20.328
angles (deg): 90.00 90.00 90.00
Fractional coordinates of all 10 atoms:
Ac 0.000 0.000 0.103
Ac 0.000 0.000 0.309
Ac 0.000 0.000 0.691
Ac 0.000 0.000 0.897
Sm 0.000 0.000 0.500
Mg 0.500 0.500 0.000
Mg 0.500 0.500 0.205
Mg 0.500 0.500 0.414
Mg 0.500 0.500 0.586
Mg 0.500 0.500 0.795



Computed, not measured: Ac5SmMg4 after structural relaxation at the PBE-GGA level of DFT.

Results
ΔH_f (0 K) (kJ per mole of atoms): -5
Symmetry: P4/mmm (123)
E_tot (eV/f.u.): -32.17

a b c (Å): 4.074 4.074 21.646
angles (deg): 90.00 90.00 90.00
Fractional coordinates of all 10 atoms:
Ac 0.000 0.000 0.000
Ac 0.000 0.000 0.192
Ac 0.000 0.000 0.384
Ac 0.000 0.000 0.616
Ac 0.000 0.000 0.808
Sm 0.500 0.500 0.500
Mg 0.500 0.500 0.096
Mg 0.500 0.500 0.289
Mg 0.500 0.500 0.711
Mg 0.500 0.500 0.904



Computed, not measured: AcSm2Mg after structural relaxation at the PBE-GGA level of DFT.

Results
ΔH_f (0 K) (kJ per mole of atoms): 4
ΔE to the lowest computed polymorph (kJ/mol of formula units): 25
Symmetry: P4/mmm (123)
E_tot (eV/f.u.): -14.99

a b c (Å): 5.081 5.081 5.247
angles (deg): 90.00 90.00 90.00
Fractional coordinates of all 4 atoms:
Ac 0.000 0.000 0.000
Sm 0.000 0.500 0.500
Sm 0.500 0.000 0.500
Mg 0.500 0.500 0.000



Computed, not measured: Ac4SmMg after structural relaxation at the PBE-GGA level of DFT.

Results
ΔH_f (0 K) (kJ per mole of atoms): 0
ΔE to the lowest computed polymorph (kJ/mol of formula units): 0
Symmetry: P4/mmm (123)
E_tot (eV/f.u.): -22.78

a b c (Å): 3.972 3.972 15.099
angles (deg): 90.00 90.00 90.00
Fractional coordinates of all 6 atoms:
Ac 0.000 0.000 0.146
Ac 0.000 0.000 0.854
Ac 0.500 0.500 0.331
Ac 0.500 0.500 0.669
Sm 0.000 0.000 0.500
Mg 0.500 0.500 0.000



Computed, not measured: Ac4Sm3Mg after structural relaxation at the PBE-GGA level of DFT.

Results
ΔH_f (0 K) (kJ per mole of atoms): 1
Symmetry: P4/mmm (123)
E_tot (eV/f.u.): -32.08

a b c (Å): 3.920 3.920 19.909
angles (deg): 90.00 90.00 90.00
Fractional coordinates of all 8 atoms:
Ac 0.000 0.000 0.111
Ac 0.000 0.000 0.371
Ac 0.000 0.000 0.629
Ac 0.000 0.000 0.889
Sm 0.500 0.500 0.242
Sm 0.500 0.500 0.500
Sm 0.500 0.500 0.758
Mg 0.500 0.500 0.000



| no. | ρ (Mg/m³) |
| --- | --- |
| 1 | 6.47 |
| 2 | 5.44 |
| 3 | 6.81 |
| 4 | 6.76 |
| 5 | 5.36 |
| 6 | 7.06 |
| 7 | 6.50 |
| 8 | 6.69 |
| 9 | 6.03 |
| 10 | 5.87 |
| 11 | 4.06 |
| 12 | 5.79 |
| 13 | 3.25 |
| 14 | 7.66 |
| 15 | 7.00 |
| 16 | 5.84 |
| 17 | 6.39 |
| 18 | 6.77 |
| 19 | 7.55 |
| 20 | 7.51 |